1.
# AsPb3 | Alexandria | GGA-PBE | optimized geometry
# E_form, eV/f.u.: 0.68
# Volume, A^3/atom: 28.69
# Distance to the lowest polymorph of the same formula, eV/atom: 0.1315
# Crystal system: trigonal
# Magnetization, μB/f.u.: 0.00
# Total DFT energy (no corrections), eV/atom: -3.773
# ρ, g/cm³: 10.08
data_AsPb3
_chemical_formula_sum 'As1 Pb3'
_space_group_name_H-M_alt 'P 1'
_space_group_IT_number 1
_space_group_name_Hall 'P 1'
_cell_length_a 6.226
_cell_length_b 6.226
_cell_length_c 6.226
_cell_angle_alpha 116.48
_cell_angle_beta 116.48
_cell_angle_gamma 116.48
loop_
_atom_site_label
_atom_site_type_symbol
_atom_site_fract_x
_atom_site_fract_y
_atom_site_fract_z
Pb1 Pb 0.500 0.000 0.500
Pb2 Pb 0.500 0.500 0.000
Pb3 Pb 0.000 0.500 0.500
As1 As 0.000 0.000 0.000

2.
# MgBeSi2 | Alexandria | GGA-PBE | optimized geometry
# Formation energy (no corrections), eV/f.u.: 1.2
# Volume, A^3/atom: 14.83
# Distance to the lowest polymorph of the same formula, eV/atom: 0.2060
# Crystal system: orthorhombic
# Magnetization, μB/f.u.: 0.00
# Total DFT energy (no corrections), eV/atom: -3.735
# ρ, g/cm³: 2.50
data_MgBeSi2
_chemical_formula_sum 'Mg1 Be1 Si2'
_space_group_name_H-M_alt 'P 1'
_space_group_IT_number 1
_space_group_name_Hall 'P 1'
_cell_length_a 3.072
_cell_length_b 3.293
_cell_length_c 5.865
_cell_angle_alpha 90.00
_cell_angle_beta 90.00
_cell_angle_gamma 90.00
loop_
_atom_site_label
_atom_site_type_symbol
_atom_site_fract_x
_atom_site_fract_y
_atom_site_fract_z
Be1 Be 0.000 0.000 0.437
Si1 Si 0.000 0.000 0.049
Si2 Si 0.500 0.500 0.271
Mg1 Mg 0.500 0.500 0.743

3.
# YTePO2 | Alexandria | GGA-PBE | optimized geometry
# Formation energy (no corrections), eV/f.u.: -4.7
# Volume, A^3/atom: 18.20
# Distance to the lowest polymorph of the same formula, eV/atom: 0.0000
# Crystal system: tetragonal
# Magnetization, μB/f.u.: 0.00
# Total DFT energy (no corrections), eV/atom: -5.930
# ρ, g/cm³: 5.10
data_YTePO2
_chemical_formula_sum 'Y1 Te1 P1 O2'
_space_group_name_H-M_alt 'P 1'
_space_group_IT_number 1
_space_group_name_Hall 'P 1'
_cell_length_a 4.153
_cell_length_b 4.153
_cell_length_c 5.275
_cell_angle_alpha 90.00
_cell_angle_beta 90.00
_cell_angle_gamma 90.00
loop_
_atom_site_label
_atom_site_type_symbol
_atom_site_fract_x
_atom_site_fract_y
_atom_site_fract_z
Y1 Y 0.500 0.500 0.500
P1 P 0.000 0.000 0.500
Te1 Te 0.000 0.000 0.000
O1 O 0.000 0.500 0.000
O2 O 0.500 0.000 0.000

4.
# SbAu2Br8 | Alexandria | GGA-PBE | optimized geometry
# Formation energy (no corrections), eV/f.u.: -1.8
# Volume, A^3/atom: 39.61
# Distance to the lowest polymorph of the same formula, eV/atom: 0.0000
# Crystal system: monoclinic
# Magnetization, μB/f.u.: 1.05
# Total DFT energy (no corrections), eV/atom: -2.347
# ρ, g/cm³: 4.40
data_SbAu2Br8
_chemical_formula_sum 'Sb1 Au2 Br8'
_space_group_name_H-M_alt 'P 1'
_space_group_IT_number 1
_space_group_name_Hall 'P 1'
_cell_length_a 7.037
_cell_length_b 8.362
_cell_length_c 8.362
_cell_angle_alpha 62.61
_cell_angle_beta 86.46
_cell_angle_gamma 86.46
loop_
_atom_site_label
_atom_site_type_symbol
_atom_site_fract_x
_atom_site_fract_y
_atom_site_fract_z
Sb1 Sb 0.000 0.000 0.000
Au1 Au 0.316 0.211 0.211
Au2 Au 0.684 0.789 0.789
Br1 Br 0.818 0.112 0.691
Br2 Br 0.182 0.309 0.888
Br3 Br 0.717 0.128 0.128
Br4 Br 0.283 0.872 0.872
Br5 Br 0.818 0.691 0.112
Br6 Br 0.182 0.888 0.309
Br7 Br 0.444 0.363 0.363
Br8 Br 0.556 0.637 0.637